1.
Here is a geometry-optimized ErMnTcGe3 structure from Alexandria. Energies are from PBE.

Values from the calculation:
DFT formation energy = -8 kJ per mole of atoms
SG = Cmcm (63)
DOS at the Fermi energy = 6.5 states/eV per cell

Cell lengths 6.622, 6.622, 5.611 Å; angles 90.00, 90.00, 107.47 degrees
Positions (direct):
Er 0.244 0.756 0.750
Er 0.756 0.244 0.250
Mn 0.033 0.967 0.250
Mn 0.967 0.033 0.750
Tc 0.458 0.542 0.250
Tc 0.542 0.458 0.750
Ge 0.240 0.760 0.250
Ge 0.241 0.241 0.000
Ge 0.241 0.241 0.500
Ge 0.759 0.759 0.000
Ge 0.759 0.759 0.500
Ge 0.760 0.240 0.750

---

2.
Here is a geometry-optimized ErTiMnGe2 structure from Alexandria. Energies are from PBE.

Values from the calculation:
DFT formation energy = -56 kJ per mole of atoms
SG = I-4m2 (119)
DOS at the Fermi energy = 4.8 states/eV per cell

Cell lengths 3.952, 3.952, 11.346 Å; angles 90.00, 90.00, 90.00 degrees
Positions (direct):
Er 0.000 0.000 0.000
Er 0.500 0.500 0.500
Ti 0.000 0.500 0.750
Ti 0.500 0.000 0.250
Mn 0.000 0.500 0.250
Mn 0.500 0.000 0.750
Ge 0.000 0.000 0.390
Ge 0.000 0.000 0.610
Ge 0.500 0.500 0.110
Ge 0.500 0.500 0.890

---

3.
Here is a geometry-optimized ErGeMo structure from Alexandria. Energies are from PBE.

Values from the calculation:
DFT formation energy = -49 kJ per mole of atoms
SG = P4/nmm (129)
DOS at the Fermi energy = 5.5 states/eV per cell

Cell lengths 3.913, 3.913, 7.678 Å; angles 90.00, 90.00, 90.00 degrees
Positions (direct):
Er 0.250 0.250 0.145
Er 0.750 0.750 0.855
Ge 0.250 0.250 0.743
Ge 0.750 0.750 0.257
Mo 0.250 0.750 0.500
Mo 0.750 0.250 0.500

---

4.
Here is a geometry-optimized ErGeMo structure from Alexandria. Energies are from PBE.

Values from the calculation:
DFT formation energy = -33 kJ per mole of atoms
SG = P4_2/m (84)
DOS at the Fermi energy = 10.1 states/eV per cell

Cell lengths 8.283, 8.283, 3.612 Å; angles 90.00, 90.00, 90.00 degrees
Positions (direct):
Er 0.093 0.270 0.000
Er 0.270 0.907 0.500
Er 0.730 0.093 0.500
Er 0.907 0.730 0.000
Ge 0.141 0.564 0.500
Ge 0.436 0.141 0.000
Ge 0.564 0.859 0.000
Ge 0.859 0.436 0.500
Mo 0.356 0.612 0.000
Mo 0.388 0.356 0.500
Mo 0.612 0.644 0.500
Mo 0.644 0.388 0.000

---

5.
Here is a geometry-optimized Er12Ge3N5 structure from Alexandria. Energies are from PBE.

Values from the calculation:
E_form (uncorrected) = -1021 meV per atom
SG = Ia-3d (230)
DOS at the Fermi energy = 45.7 states/eV per cell

Cell lengths 13.074, 13.074, 13.074 Å; angles 109.47, 109.47, 109.47 degrees
Positions (direct):
Er 0.019 0.203 0.115
Er 0.019 0.316 0.904
Er 0.087 0.703 0.684
Er 0.087 0.885 0.404
Er 0.096 0.615 0.413
Er 0.096 0.981 0.684
Er 0.115 0.019 0.203
Er 0.115 0.596 0.913
Er 0.184 0.203 0.587
Er 0.184 0.481 0.596
Er 0.203 0.115 0.019
Er 0.203 0.587 0.184
Er 0.297 0.316 0.913
Er 0.297 0.481 0.385
Er 0.316 0.904 0.019
Er 0.316 0.913 0.297
Er 0.385 0.297 0.481
Er 0.385 0.587 0.904
Er 0.404 0.087 0.885
Er 0.404 0.816 0.519
Er 0.413 0.096 0.615
Er 0.413 0.816 0.797
Er 0.481 0.385 0.297
Er 0.481 0.596 0.184
Er 0.519 0.404 0.816
Er 0.519 0.615 0.703
Er 0.587 0.184 0.203
Er 0.587 0.904 0.385
Er 0.596 0.184 0.481
Er 0.596 0.913 0.115
Er 0.615 0.413 0.096
Er 0.615 0.703 0.519
Er 0.684 0.087 0.703
Er 0.684 0.096 0.981
Er 0.703 0.519 0.615
Er 0.703 0.684 0.087
Er 0.797 0.413 0.816
Er 0.797 0.885 0.981
Er 0.816 0.519 0.404
Er 0.816 0.797 0.413
Er 0.885 0.404 0.087
Er 0.885 0.981 0.797
Er 0.904 0.019 0.316
Er 0.904 0.385 0.587
Er 0.913 0.115 0.596
Er 0.913 0.297 0.316
Er 0.981 0.684 0.096
Er 0.981 0.797 0.885
Ge 0.125 0.250 0.375
Ge 0.125 0.375 0.750
Ge 0.250 0.375 0.125
Ge 0.250 0.875 0.625
Ge 0.375 0.125 0.250
Ge 0.375 0.750 0.125
Ge 0.625 0.250 0.875
Ge 0.625 0.875 0.750
Ge 0.750 0.125 0.375
Ge 0.750 0.625 0.875
Ge 0.875 0.625 0.250
Ge 0.875 0.750 0.625
N 0.000 0.000 0.000
N 0.000 0.000 0.500
N 0.000 0.500 0.000
N 0.000 0.500 0.500
N 0.125 0.750 0.875
N 0.125 0.875 0.250
N 0.250 0.125 0.875
N 0.250 0.625 0.375
N 0.375 0.250 0.625
N 0.375 0.625 0.750
N 0.500 0.000 0.000
N 0.500 0.000 0.500
N 0.500 0.500 0.000
N 0.500 0.500 0.500
N 0.625 0.375 0.250
N 0.625 0.750 0.375
N 0.750 0.375 0.625
N 0.750 0.875 0.125
N 0.875 0.125 0.750
N 0.875 0.250 0.125

---

6.
Here is a geometry-optimized Er4Ge2N structure from Alexandria. Energies are from PBE.

Values from the calculation:
E_form (uncorrected) = -1001 meV per atom
SG = I4/mmm (139)
DOS at the Fermi energy = 9.3 states/eV per cell

Cell lengths 4.543, 4.543, 15.106 Å; angles 90.00, 90.00, 90.00 degrees
Positions (direct):
Er 0.000 0.000 0.169
Er 0.000 0.000 0.831
Er 0.000 0.500 0.000
Er 0.000 0.500 0.500
Er 0.500 0.000 0.000
Er 0.500 0.000 0.500
Er 0.500 0.500 0.331
Er 0.500 0.500 0.669
Ge 0.000 0.000 0.362
Ge 0.000 0.000 0.638
Ge 0.500 0.500 0.138
Ge 0.500 0.500 0.862
N 0.000 0.000 0.000
N 0.500 0.500 0.500

---

7.
Here is a geometry-optimized Er4Ge2N structure from Alexandria. Energies are from PBE.

Values from the calculation:
E_form (uncorrected) = -893 meV per atom
SG = C2/m (12)
DOS at the Fermi energy = 7.8 states/eV per cell

Cell lengths 14.433, 3.695, 5.724 Å; angles 90.00, 102.00, 90.00 degrees
Positions (direct):
Er 0.070 0.000 0.270
Er 0.136 0.500 0.836
Er 0.364 0.000 0.164
Er 0.430 0.500 0.730
Er 0.570 0.500 0.270
Er 0.636 0.000 0.836
Er 0.864 0.500 0.164
Er 0.930 0.000 0.730
Ge 0.234 0.500 0.345
Ge 0.266 0.000 0.655
Ge 0.734 0.000 0.345
Ge 0.766 0.500 0.655
N 0.000 0.500 0.000
N 0.500 0.000 0.000

---

8.
Here is a geometry-optimized ErGeN structure from Alexandria. Energies are from PBE.

Values from the calculation:
E_form (uncorrected) = -876 meV per atom
SG = Pnma (62)
DOS at the Fermi energy = 0.4 states/eV per cell

Cell lengths 10.232, 3.869, 5.398 Å; angles 90.00, 90.00, 90.00 degrees
Positions (direct):
Er 0.132 0.250 0.092
Er 0.368 0.750 0.592
Er 0.632 0.250 0.408
Er 0.868 0.750 0.908
Ge 0.080 0.750 0.529
Ge 0.420 0.250 0.029
Ge 0.580 0.750 0.971
Ge 0.920 0.250 0.471
N 0.106 0.750 0.884
N 0.394 0.250 0.384
N 0.606 0.750 0.616
N 0.894 0.250 0.116